The following is a DFT calculation (GGA-PBE) of an optimized crystal structure of Pm5PuMg4.

Values from the calculation:
Raw total energy: -44.7 eV per formula unit
D(E_F): 1.73 states/eV per atom
Formation energy from the elements: -28 meV/atom
SG: P4/mmm (123)

Cell lengths 3.7859, 3.7859, 20.5247 Å; angles 90.00, 90.00, 90.00 degrees
With the nearest neighbours (Å) after each atom.
Atoms (fractional coordinates):
Pm: 0.5000 0.5000 0.6922  8 Mg 3.32-3.35
Mg: 0.0000 0.0000 0.5963  8 Pm 3.32-3.33
Pm: 0.5000 0.5000 0.1120  4 Mg 3.34, 4 Pu 3.53
Mg: 0.0000 0.0000 0.2097  8 Pm 3.34-3.35
Mg: 0.0000 0.0000 0.7903  8 Pm 3.34-3.35
Pm: 0.5000 0.5000 0.8880  4 Mg 3.34, 4 Pu 3.53
Mg: 0.0000 0.0000 0.4037  8 Pm 3.32-3.33
Pm: 0.5000 0.5000 0.5000  8 Mg 3.33
Pu: 0.0000 0.0000 0.0000  8 Pm 3.53, 4 Pu 3.79
Pm: 0.5000 0.5000 0.3078  8 Mg 3.32-3.35